[1]
Computed, not measured: a geometry-optimized Ce4As3O2 structure at the GGA-PBE level of DFT.

Cell: 4.049 6.864 9.009 Å, 121.86 90.00 107.15°
Element x y z (fractional)
Ce1 0.688 0.376 0.115
Ce2 0.312 0.624 0.885
Ce3 0.898 0.797 0.604
Ce4 0.102 0.203 0.396
As1 0.615 0.230 0.715
As2 0.000 0.000 0.000
As3 0.385 0.770 0.285
O1 0.689 0.378 0.367
O2 0.311 0.622 0.633

Values from the calculation:
Symmetry ... C2/m, No. 12
V ... 199.4 Å³/f.u.
Total magnetic moment ... 0.32 μB per atom
Formation energy without anion corrections ... -18.7 eV per formula unit
DFT total energy ... -0.271 hartree per atom

[2]
Computed, not measured: a geometry-optimized Cd2Pd8Pt structure at the GGA-PBE level of DFT.

Cell: 4.333 6.852 7.411 Å, 117.54 107.00 90.00°
Element x y z (fractional)
Cd1 0.196 0.696 0.393
Cd2 0.804 0.304 0.607
Pd1 0.646 0.865 0.291
Pd2 0.354 0.573 0.709
Pd3 0.155 0.155 0.309
Pd4 0.000 0.291 0.000
Pd5 0.845 0.845 0.691
Pd6 0.646 0.427 0.291
Pd7 0.354 0.135 0.709
Pd8 0.000 0.709 0.000
Pt1 0.500 0.000 0.000

Values from the calculation:
Symmetry ... Immm, No. 71
V ... 184.2 Å³/f.u.
Total magnetic moment ... 0.00 μB per atom
DFT total energy ... -0.168 hartree per atom
Excess energy over the best structure of this formula in the dataset ... 0 meV/atom
Energy of formation ... -0.07 eV/atom

[3]
Computed, not measured: a geometry-optimized Pr6Ag5Hg structure at the GGA-PBE level of DFT.

Cell: 5.411 7.489 8.564 Å, 90.00 108.80 90.00°
Element x y z (fractional)
Pr1 0.833 0.748 0.664
Pr2 0.833 0.252 0.664
Pr3 0.500 0.254 0.000
Pr4 0.500 0.746 0.000
Pr5 0.167 0.748 0.336
Pr6 0.167 0.252 0.336
Hg1 0.000 0.000 0.000
Ag1 0.664 0.500 0.332
Ag2 0.337 0.000 0.670
Ag3 0.000 0.500 0.000
Ag4 0.663 0.000 0.330
Ag5 0.336 0.500 0.668

Values from the calculation:
Symmetry ... P2/m, No. 10
V ... 328.5 Å³/f.u.
Total magnetic moment ... 0.00 μB per atom
DFT total energy ... -0.143 hartree per atom
Energy of formation ... -0.29 eV/atom

> Among the records above, which one has the highest DFT total energy?

Pr6Ag5Hg

Please write out number 3 again, unchanged.
Computed, not measured: a geometry-optimized Pr6Ag5Hg structure at the GGA-PBE level of DFT.

Cell: 5.411 7.489 8.564 Å, 90.00 108.80 90.00°
Element x y z (fractional)
Pr1 0.833 0.748 0.664
Pr2 0.833 0.252 0.664
Pr3 0.500 0.254 0.000
Pr4 0.500 0.746 0.000
Pr5 0.167 0.748 0.336
Pr6 0.167 0.252 0.336
Hg1 0.000 0.000 0.000
Ag1 0.664 0.500 0.332
Ag2 0.337 0.000 0.670
Ag3 0.000 0.500 0.000
Ag4 0.663 0.000 0.330
Ag5 0.336 0.500 0.668

Values from the calculation:
Symmetry ... P2/m, No. 10
V ... 328.5 Å³/f.u.
Total magnetic moment ... 0.00 μB per atom
DFT total energy ... -0.143 hartree per atom
Energy of formation ... -0.29 eV/atom